A plane-wave DFT calculation with PBE was carried out for a relaxed structure of YZr2Hg.

Results
The value obtained for the total energy is -24.25 eV per formula unit. Its total magnetic moment is 0.000 μB per formula unit. Its energy relative to the elements is -0.098 eV/atom. The volume is 98 Å³/cell.

a b c (Å): 3.403 4.060 7.061
angles (deg): 90.00 90.00 90.00
Fractional coordinates of all 4 atoms:
Y: 0.000 0.000 0.000
Zr: 0.000 0.000 0.500
Zr: 0.500 0.500 0.281
Hg: 0.500 0.500 0.743

A plane-wave DFT calculation with PBE was carried out for a relaxed structure of MnBeSi2.

Results
The value obtained for the total energy is -23.22 eV per formula unit. Its total magnetic moment is 1.853 μB per formula unit. The calculation puts the formation energy without anion corrections at 130 meV per atom. The volume is 47 Å³/cell.

a b c (Å): 2.564 2.564 7.118
angles (deg): 90.00 90.00 90.00
Fractional coordinates of all 4 atoms:
Mn: 0.000 0.000 0.000
Be: 0.500 0.500 0.781
Si: 0.000 0.000 0.547
Si: 0.500 0.500 0.238